Below is a geometry-optimized Ac3Fe structure, with properties calculated at the GGA-PBE level.

abc: 8.0052 8.0052 8.0052
angles: 90.00 90.00 90.00
Space group Fm-3m (No. 225)
Asymmetric unit:
Ac 0.0000 0.0000 0.0000 (multiplicity 4)
Ac 0.2500 0.2500 0.2500 (multiplicity 8)
Fe 0.0000 0.0000 0.5000 (multiplicity 4)

## Properties
E above lowest polymorph	1.15	eV per formula unit
magnetization	0.02	Bohr magnetons per cell
calculated volume	32.06	A^3/atom
calculated formation energy	3.03	eV per formula unit
uncorrected energy	-4.399	eV per atom